Compound: Dy2ScTl
Source: Alexandria
Functional: PBE
Structure: optimized geometry

Properties
ΔE to the lowest computed polymorph (eV/atom): 0.0358
DOS at the Fermi energy (states/eV/atom): 1.2445
Crystal system: tetragonal

abc: 3.6111 3.6111 8.6042
angles: 90.00 90.00 90.00
With the nearest neighbours (Å) after each atom.
Space group P4/mmm (No. 123)
Unique sites:
Dy  0.0000  0.0000  0.2435 (multiplicity 2)  4 Tl 3.30, 4 Sc 3.38, 4 Dy 3.61
Sc  0.5000  0.5000  0.5000 (multiplicity 1)  8 Dy 3.38, 4 Sc 3.61
Tl  0.5000  0.5000  0.0000 (multiplicity 1)  8 Dy 3.30, 4 Tl 3.61

=====

Compound: Dy3ScTl2
Source: Alexandria
Functional: PBE
Structure: optimized geometry

Properties
DOS at the Fermi energy (states/eV/atom): 1.0961
Crystal system: orthorhombic
E_tot (eV/f.u.): -26.22

abc: 6.4429 16.3991 6.4313
angles: 90.00 90.00 90.00
With the nearest neighbours (Å) after each atom.
Space group Ibam (No. 72)
Unique sites:
Dy  0.0000  0.0000  0.2500 (multiplicity 4)  4 Tl 3.19, 2 Dy 3.22, 2 Sc 3.22
Dy  0.2471  0.3243  0.0000 (multiplicity 8)  5 Tl 3.12-3.36
Sc  0.0000  0.5000  0.2500 (multiplicity 4)  4 Tl 3.14, 2 Sc 3.22, 2 Dy 3.22
Tl  0.2417  0.3661  0.5000 (multiplicity 8)  7 Dy 3.12-3.36, 2 Sc 3.14

=====

Compound: DySc4Tl5
Source: Alexandria
Functional: PBE
Structure: optimized geometry

Properties
DOS at the Fermi energy (states/eV/atom): 0.8654
Crystal system: tetragonal
E_tot (eV/f.u.): -44.48

abc: 3.6117 3.6117 18.5279
angles: 90.00 90.00 90.00
With the nearest neighbours (Å) after each atom.
Space group P4/mmm (No. 123)
Unique sites:
Dy  0.0000  0.0000  0.0000 (multiplicity 1)  8 Tl 3.27, 4 Dy 3.61
Sc  0.0000  0.0000  0.2083 (multiplicity 2)  8 Tl 3.13
Sc  0.0000  0.0000  0.4030 (multiplicity 2)  8 Tl 3.12
Tl  0.5000  0.5000  0.1103 (multiplicity 2)  4 Sc 3.13, 4 Dy 3.27
Tl  0.5000  0.5000  0.3058 (multiplicity 2)  8 Sc 3.12-3.13
Tl  0.5000  0.5000  0.5000 (multiplicity 1)  8 Sc 3.12

=====

Compound: DySc2Tl
Source: Alexandria
Functional: PBE
Structure: optimized geometry

Properties
ΔE to the lowest computed polymorph (eV/atom): 0.0000
DOS at the Fermi energy (states/eV/atom): 1.0296
Crystal system: tetragonal

abc: 4.6460 4.6460 4.6335
angles: 90.00 90.00 90.00
With the nearest neighbours (Å) after each atom.
Space group P4/mmm (No. 123)
Unique sites:
Dy  0.0000  0.0000  0.0000 (multiplicity 1)  8 Sc 3.28, 4 Tl 3.29
Sc  0.0000  0.5000  0.5000 (multiplicity 2)  4 Tl 3.28, 4 Dy 3.28, 4 Sc 3.29
Tl  0.5000  0.5000  0.0000 (multiplicity 1)  8 Sc 3.28, 4 Dy 3.29

=====

Compound: Dy2Sc6Tl
Source: Alexandria
Functional: PBE
Structure: optimized geometry

Properties
DOS at the Fermi energy (states/eV/atom): 1.4720
Crystal system: orthorhombic
E_tot (eV/f.u.): -49.32

abc: 3.2946 9.6016 14.8802
angles: 90.00 90.00 90.00
With the nearest neighbours (Å) after each atom.
Space group Immm (No. 71)
Unique sites:
Dy  0.0000  0.0000  0.1481 (multiplicity 4)  10 Sc 3.26-3.43, 2 Dy 3.29
Sc  0.0000  0.2886  0.5000 (multiplicity 4)  2 Tl 3.22, 6 Sc 3.29-3.36, 4 Dy 3.42
Sc  0.0000  0.3366  0.1791 (multiplicity 8)  1 Tl 3.09, 7 Sc 3.14-3.36, 3 Dy 3.26-3.43
Tl  0.0000  0.5000  0.0000 (multiplicity 2)  8 Sc 3.09-3.22, 2 Tl 3.29

=====

Compound: DySc4Tl
Source: Alexandria
Functional: PBE
Structure: optimized geometry

Properties
DOS at the Fermi energy (states/eV/atom): 1.3252
Crystal system: orthorhombic
E_tot (eV/f.u.): -32.27

abc: 4.9092 18.5057 6.8908
angles: 90.00 90.00 90.00
With the nearest neighbours (Å) after each atom.
Space group Cmcm (No. 63)
Unique sites:
Dy  0.0000  0.1186  0.2500 (multiplicity 4)  7 Sc 3.26-3.59
Sc  0.0000  0.0648  0.7500 (multiplicity 4)  1 Tl 2.89, 4 Sc 3.23
Sc  0.0000  0.3339  0.0335 (multiplicity 8)  3 Tl 2.86-3.05, 2 Sc 2.98-3.08
Sc  0.0000  0.5000  0.0000 (multiplicity 4)  8 Sc 3.08-3.45
Tl  0.0000  0.2208  0.7500 (multiplicity 4)  7 Sc 2.86-3.05

=====

Compound: Dy6Sc2Tl
Source: Alexandria
Functional: PBE
Structure: optimized geometry

Properties
DOS at the Fermi energy (states/eV/atom): 1.5387
Crystal system: tetragonal
E_tot (eV/f.u.): -42.89

abc: 10.3878 10.3878 4.8100
angles: 90.00 90.00 90.00
With the nearest neighbours (Å) after each atom.
Space group P4_2/mnm (No. 136)
Unique sites:
Dy  0.0016  0.3319  0.0000 (multiplicity 8)  8 Dy 3.42-3.54, 3 Sc 3.43-3.47, 1 Tl 3.45
Dy  0.1607  0.1607  0.5000 (multiplicity 4)  2 Tl 3.37, 4 Sc 3.38-3.52, 6 Dy 3.42-3.54
Sc  0.1644  0.8356  0.5000 (multiplicity 4)  10 Dy 3.38-3.52, 2 Tl 3.41
Tl  0.0000  0.0000  0.0000 (multiplicity 2)  8 Dy 3.37-3.45, 4 Sc 3.41

=====

Compound: DySc7Tl4
Source: Alexandria
Functional: PBE
Structure: optimized geometry

Properties
DOS at the Fermi energy (states/eV/atom): 1.1339
Crystal system: monoclinic
E_tot (eV/f.u.): -57.95

abc: 13.2387 5.3609 10.4863
angles: 90.00 124.26 90.00
With the nearest neighbours (Å) after each atom.
Space group C2/m (No. 12)
Unique sites:
Dy  0.0000  0.0000  0.0000 (multiplicity 2)  2 Sc 2.68
Sc  0.0000  0.5000  0.0000 (multiplicity 2)  2 Dy 2.68, 4 Tl 2.91-2.99
Sc  0.0560  0.0000  0.3762 (multiplicity 4)  3 Tl 2.99-3.12, 3 Sc 3.06-3.31
Sc  0.1745  0.5000  0.5990 (multiplicity 4)  4 Tl 2.84-3.04
Sc  0.2170  0.0000  0.8799 (multiplicity 4)  4 Tl 2.97-3.08, 2 Sc 3.06-3.21
Tl  0.0775  0.5000  0.7817 (multiplicity 4)  7 Sc 2.84-3.12, 1 Tl 3.13
Tl  0.1963  0.5000  0.3265 (multiplicity 4)  6 Sc 2.91-3.04, 1 Tl 3.13